AcPr3Sm6Dy2: optimized geometry, PBE-GGA.

Output
- Calculated volume: 417.97 Å³/cell
- Space-group type: No. 12
- Size of the total moment: 0.00 μB/f.u.
- E: -4.6396 eV per atom
- Formation energy from the elements: 0.0242 eV per atom

Cell lengths 6.3448, 6.3448, 12.1710 Å; angles 94.99, 94.99, 119.97 degrees
Closest atoms and distances in Å follow each position.
Element x y z (fractional)
1 Ac 0.0000 0.0000 0.0000  6 Dy 3.66, 6 Sm 3.68
2 Pr 0.1671 0.8329 0.5000  6 Sm 3.65-3.68, 6 Pr 3.66-3.67
3 Pr 0.5000 0.5000 0.5000  6 Sm 3.66-3.67, 6 Pr 3.66-3.67
4 Pr 0.8329 0.1671 0.5000  6 Sm 3.65-3.68, 6 Pr 3.66-3.67
5 Sm 0.0839 0.4203 0.2499  6 Sm 3.65-3.70, 3 Pr 3.65-3.68, 2 Dy 3.66, 1 Ac 3.68
6 Sm 0.2524 0.2524 0.7498  6 Sm 3.65-3.70, 3 Pr 3.66-3.67, 2 Dy 3.67, 1 Ac 3.68
7 Sm 0.4203 0.0839 0.2499  6 Sm 3.65-3.70, 3 Pr 3.65-3.68, 2 Dy 3.66, 1 Ac 3.68
8 Sm 0.5797 0.9161 0.7501  6 Sm 3.65-3.70, 3 Pr 3.65-3.68, 2 Dy 3.66, 1 Ac 3.68
9 Sm 0.7476 0.7476 0.2502  6 Sm 3.65-3.70, 3 Pr 3.66-3.67, 2 Dy 3.67, 1 Ac 3.68
10 Sm 0.9161 0.5797 0.7501  6 Sm 3.65-3.70, 3 Pr 3.65-3.68, 2 Dy 3.66, 1 Ac 3.68
11 Dy 0.3334 0.6666 0.0000  6 Sm 3.66-3.67, 3 Dy 3.66, 3 Ac 3.66
12 Dy 0.6666 0.3334 0.0000  6 Sm 3.66-3.67, 3 Dy 3.66, 3 Ac 3.66